Rb2CoReCl6 after structural relaxation. Source: Alexandria, functional GGA-PBE.

**Total moment**: 4.1 μB per cell
**Formation energy (no corrections)**: -866 meV/atom
**Electronic total energy**: -4.123 eV/atom

Geometry as POSCAR:
```
Rb2CoReCl6
1.0
-1.619 5.058 -4.555
-3.115 -4.714 -4.126
-6.651 0.931 -1.975
Cl Co Re Rb
6 1 1 2
direct
0.247 0.247 0.000
0.753 0.753 0.000
0.753 0.247 0.000
0.247 0.753 0.000
0.754 0.754 0.493
0.246 0.246 0.507
0.500 0.500 0.000
0.000 0.000 0.000
0.250 0.750 0.500
0.750 0.250 0.500
```

Rb2CoRhCl6 after structural relaxation. Source: Alexandria, functional GGA-PBE.

**Total moment**: 2.0 μB per cell
**Formation energy (no corrections)**: -1000 meV/atom
**Electronic total energy**: -3.747 eV/atom

Geometry as POSCAR:
```
Rb2CoRhCl6
1.0
-0.487 6.474 3.122
-2.886 -3.042 5.858
2.468 1.177 6.257
Rh Rb Cl Co
1 2 6 1
direct
0.000 0.000 0.000
0.750 0.250 0.500
0.250 0.750 0.500
0.258 0.258 0.484
0.756 0.244 0.000
0.756 0.756 0.000
0.742 0.742 0.516
0.244 0.244 0.000
0.244 0.756 0.000
0.500 0.500 0.000
```